## Rb2SiGe (PBE)

Data for an optimized crystal structure of Rb2SiGe.

Properties
raw formation energy: 0.207 eV per atom
crystal system: tetragonal
Fermi-level density of states: 11.52 states/eV per cell
total energy: -2.7869 eV/atom

Cell lengths 13.683, 13.683, 4.577 Å; angles 90.00, 90.00, 90.00 degrees
Fractional positions:
Rb 0.041 0.750 0.125
Rb 0.250 0.041 0.875
Rb 0.250 0.459 0.375
Rb 0.459 0.750 0.625
Rb 0.541 0.250 0.625
Rb 0.750 0.541 0.375
Rb 0.750 0.959 0.875
Rb 0.959 0.250 0.125
Si 0.000 0.000 0.000
Si 0.000 0.500 0.250
Si 0.500 0.000 0.750
Si 0.500 0.500 0.500
Ge 0.000 0.000 0.500
Ge 0.000 0.500 0.750
Ge 0.500 0.000 0.250
Ge 0.500 0.500 0.000